[1]
# HfAs2PbBr

An optimized crystal structure of HfAs2PbBr (PBEsol, Alexandria via LeMat-Bulk).

As for the energy above the most stable polymorph in this dataset: 0 meV/atom. As for the crystal system: tetragonal. The density of states at the Fermi level comes out at 1.40 states/eV per cell. The calculation puts the spin magnetization at 0.00 Bohr magnetons per cell. Its formation energy (no corrections) is -0.1805 eV per atom. Its space group is P4/mmm.

Unit cell a=5.1412 b=5.1412 c=5.1403 alpha=90.00 beta=90.00 gamma=90.00
With the nearest neighbours (Å) after each atom.
Atoms (fractional coordinates):
Pb1 0.5000 0.5000 0.5000  8 As 3.64, 4 Br 3.64
As1 0.0000 0.5000 0.0000  2 Hf 2.57
As2 0.5000 0.0000 0.0000  2 Hf 2.57
Hf1 0.0000 0.0000 0.0000  2 Br 2.57, 4 As 2.57
Br1 0.0000 0.0000 0.5000  2 Hf 2.57

---

[2]
# HfReAsBr2

An optimized crystal structure of HfReAsBr2 (PBEsol, Alexandria via LeMat-Bulk).

As for the crystal system: tetragonal. The density of states at the Fermi level comes out at 2.32 states/eV per cell. The calculation puts the spin magnetization at 5.30 Bohr magnetons per cell. Its formation energy (no corrections) is 0.9455 eV per atom. Its space group is P4/mmm.

Unit cell a=5.0669 b=5.0669 c=5.2825 alpha=90.00 beta=90.00 gamma=90.00
With the nearest neighbours (Å) after each atom.
Atoms (fractional coordinates):
Re1 0.5000 0.5000 0.5000  4 As 3.58, 8 Br 3.66
As1 0.0000 0.0000 0.5000  2 Hf 2.64
Hf1 0.0000 0.0000 0.0000  4 Br 2.53, 2 As 2.64
Br1 0.0000 0.5000 0.0000  2 Hf 2.53
Br2 0.5000 0.0000 0.0000  2 Hf 2.53

---

[3]
# HfScAsBr2

An optimized crystal structure of HfScAsBr2 (PBEsol, Alexandria via LeMat-Bulk).

As for the crystal system: tetragonal. The density of states at the Fermi level comes out at 4.60 states/eV per cell. The calculation puts the spin magnetization at 1.26 Bohr magnetons per cell. Its formation energy (no corrections) is -0.2729 eV per atom. Its space group is P4/mmm.

Unit cell a=5.0492 b=5.0492 c=5.2606 alpha=90.00 beta=90.00 gamma=90.00
With the nearest neighbours (Å) after each atom.
Atoms (fractional coordinates):
Sc1 0.5000 0.5000 0.5000  4 As 3.57, 8 Br 3.65
As1 0.0000 0.0000 0.5000  2 Hf 2.63
Hf1 0.0000 0.0000 0.0000  4 Br 2.52, 2 As 2.63
Br1 0.0000 0.5000 0.0000  2 Hf 2.52
Br2 0.5000 0.0000 0.0000  2 Hf 2.52

---

[4]
# HfScAs2Br

An optimized crystal structure of HfScAs2Br (PBEsol, Alexandria via LeMat-Bulk).

As for the crystal system: tetragonal. The density of states at the Fermi level comes out at 3.40 states/eV per cell. The calculation puts the spin magnetization at 0.03 Bohr magnetons per cell. Its formation energy (no corrections) is 0.1454 eV per atom. Its space group is P4/mmm.

Unit cell a=4.8094 b=5.0468 c=5.0468 alpha=90.00 beta=90.00 gamma=90.00
With the nearest neighbours (Å) after each atom.
Atoms (fractional coordinates):
Sc1 0.0000 0.0000 0.0000  2 Br 2.40, 4 As 2.52
As1 0.0000 0.0000 0.5000  2 Sc 2.52
As2 0.0000 0.5000 0.0000  2 Sc 2.52
Hf1 0.5000 0.5000 0.5000  8 As 3.49, 4 Br 3.57
Br1 0.5000 0.0000 0.0000  2 Sc 2.40

---

[5]
# HfAsSeBr2

An optimized crystal structure of HfAsSeBr2 (PBEsol, Alexandria via LeMat-Bulk).

As for the crystal system: tetragonal. The density of states at the Fermi level comes out at 4.75 states/eV per cell. The calculation puts the spin magnetization at 1.19 Bohr magnetons per cell. Its formation energy (no corrections) is 0.7540 eV per atom. Its space group is P4/mmm.

Unit cell a=5.0206 b=5.0206 c=5.1254 alpha=90.00 beta=90.00 gamma=90.00
With the nearest neighbours (Å) after each atom.
Atoms (fractional coordinates):
As1 0.0000 0.0000 0.5000  2 Se 2.56
Hf1 0.5000 0.5000 0.5000  4 As 3.55, 8 Br 3.59
Se1 0.0000 0.0000 0.0000  4 Br 2.51, 2 As 2.56
Br1 0.0000 0.5000 0.0000  2 Se 2.51
Br2 0.5000 0.0000 0.0000  2 Se 2.51

---

[6]
# HfSnAs2Br

An optimized crystal structure of HfSnAs2Br (PBEsol, Alexandria via LeMat-Bulk).

As for the crystal system: tetragonal. The density of states at the Fermi level comes out at 3.01 states/eV per cell. The calculation puts the spin magnetization at 0.01 Bohr magnetons per cell. Its formation energy (no corrections) is 0.8180 eV per atom. Its space group is P4/mmm.

Unit cell a=5.0946 b=5.1176 c=5.1176 alpha=90.00 beta=90.00 gamma=90.00
With the nearest neighbours (Å) after each atom.
Atoms (fractional coordinates):
As1 0.0000 0.0000 0.5000  2 Sn 2.56
As2 0.0000 0.5000 0.0000  2 Sn 2.56
Hf1 0.5000 0.5000 0.5000  8 As 3.61, 4 Br 3.62
Sn1 0.0000 0.0000 0.0000  2 Br 2.55, 4 As 2.56
Br1 0.5000 0.0000 0.0000  2 Sn 2.55

---

[7]
# HfTeAsBr2

An optimized crystal structure of HfTeAsBr2 (PBEsol, Alexandria via LeMat-Bulk).

As for the crystal system: tetragonal. The density of states at the Fermi level comes out at 4.61 states/eV per cell. The calculation puts the spin magnetization at 0.02 Bohr magnetons per cell. Its formation energy (no corrections) is -0.2103 eV per atom. Its space group is P4/mmm.

Unit cell a=5.0019 b=5.0019 c=5.4888 alpha=90.00 beta=90.00 gamma=90.00
With the nearest neighbours (Å) after each atom.
Atoms (fractional coordinates):
As1 0.0000 0.0000 0.5000  2 Hf 2.74
Te1 0.5000 0.5000 0.5000  4 As 3.54, 8 Br 3.71
Hf1 0.0000 0.0000 0.0000  4 Br 2.50, 2 As 2.74
Br1 0.0000 0.5000 0.0000  2 Hf 2.50
Br2 0.5000 0.0000 0.0000  2 Hf 2.50

---

[8]
# YHfAs2Br

An optimized crystal structure of YHfAs2Br (PBEsol, Alexandria via LeMat-Bulk).

As for the crystal system: tetragonal. The density of states at the Fermi level comes out at 4.74 states/eV per cell. The calculation puts the spin magnetization at 0.64 Bohr magnetons per cell. Its formation energy (no corrections) is 0.3502 eV per atom. Its space group is P4/mmm.

Unit cell a=5.0866 b=5.3179 c=5.3179 alpha=90.00 beta=90.00 gamma=90.00
With the nearest neighbours (Å) after each atom.
Atoms (fractional coordinates):
Y1 0.0000 0.0000 0.0000  2 Br 2.54, 4 As 2.66
As1 0.0000 0.0000 0.5000  2 Y 2.66
As2 0.0000 0.5000 0.0000  2 Y 2.66
Hf1 0.5000 0.5000 0.5000  8 As 3.68, 4 Br 3.76
Br1 0.5000 0.0000 0.0000  2 Y 2.54

---

[9]
# Hg2AsBr

An optimized crystal structure of Hg2AsBr (PBEsol, Alexandria via LeMat-Bulk).

As for the energy above the most stable polymorph in this dataset: 0 meV/atom. As for the crystal system: tetragonal. The density of states at the Fermi level comes out at 2.00 states/eV per cell. The calculation puts the spin magnetization at 0.00 Bohr magnetons per cell. Its formation energy (no corrections) is -0.1184 eV per atom. Its space group is I-42d.

Unit cell a=6.3522 b=6.3522 c=8.0858 alpha=113.13 beta=113.13 gamma=90.00
With the nearest neighbours (Å) after each atom.
Atoms (fractional coordinates):
As1 0.7500 0.2500 0.5000  4 Hg 2.58
As2 0.5000 0.5000 0.0000  4 Hg 2.58
Hg1 0.4451 0.8750 0.2500  2 As 2.58
Hg2 0.8049 0.3750 0.2500  2 As 2.58
Hg3 0.1250 0.1951 0.7500  2 As 2.58
Hg4 0.6250 0.5549 0.7500  2 As 2.58
Br1 0.2500 0.7500 0.5000  4 Hg 3.08
Br2 0.0000 0.0000 0.0000  4 Hg 3.08

---

[10]
# Hg2AsBr

An optimized crystal structure of Hg2AsBr (PBEsol, Alexandria via LeMat-Bulk).

As for the energy above the most stable polymorph in this dataset: 219 meV/atom. As for the crystal system: orthorhombic. The density of states at the Fermi level comes out at 1.46 states/eV per cell. The calculation puts the spin magnetization at 0.00 Bohr magnetons per cell. Its formation energy (no corrections) is 0.1003 eV per atom. Its space group is Cmmm.

Unit cell a=3.5929 b=3.5929 c=7.9665 alpha=90.00 beta=90.00 gamma=111.09
With the nearest neighbours (Å) after each atom.
Atoms (fractional coordinates):
As1 0.5000 0.5000 0.5000  4 Hg 2.75
Hg1 0.0000 0.0000 0.2680  2 As 2.75, 2 Br 2.95
Hg2 0.0000 0.0000 0.7320  2 As 2.75, 2 Br 2.95
Br1 0.5000 0.5000 0.0000  4 Hg 2.95

---

[11]
# Hg4As2Br3

An optimized crystal structure of Hg4As2Br3 (PBEsol, Alexandria via LeMat-Bulk).

As for the crystal system: cubic. The calculation puts the spin magnetization at 0.00 Bohr magnetons per cell. Its formation energy (no corrections) is -0.2518 eV per atom. Its space group is Pa-3.

Unit cell a=12.6383 b=12.6383 c=12.6383 alpha=90.00 beta=90.00 gamma=90.00
With the nearest neighbours (Å) after each atom.
Atoms (fractional coordinates):
As1 0.4452 0.4452 0.4452  1 As 2.40, 3 Hg 2.54
As2 0.0548 0.5548 0.9452  1 As 2.40, 3 Hg 2.54
As3 0.5548 0.9452 0.0548  1 As 2.40, 3 Hg 2.54
As4 0.9452 0.0548 0.5548  1 As 2.40, 3 Hg 2.54
As5 0.5548 0.5548 0.5548  1 As 2.40, 3 Hg 2.54
As6 0.9452 0.4452 0.0548  1 As 2.40, 3 Hg 2.54
As7 0.4452 0.0548 0.9452  1 As 2.40, 3 Hg 2.54
As8 0.0548 0.9452 0.4452  1 As 2.40, 3 Hg 2.54
As9 0.1037 0.1037 0.1037  4 Hg 2.52-2.54
As10 0.3963 0.8963 0.6037  4 Hg 2.52-2.54
As11 0.8963 0.6037 0.3963  4 Hg 2.52-2.54
As12 0.6037 0.3963 0.8963  4 Hg 2.52-2.54
As13 0.8963 0.8963 0.8963  4 Hg 2.52-2.54
As14 0.6037 0.1037 0.3963  4 Hg 2.52-2.54
As15 0.1037 0.3963 0.6037  4 Hg 2.52-2.54
As16 0.3963 0.6037 0.1037  4 Hg 2.52-2.54
Br1 0.1921 0.4357 0.2597  3 Hg 2.80-3.13
Br2 0.3079 0.5643 0.7597  3 Hg 2.80-3.13
Br3 0.8079 0.9357 0.2403  3 Hg 2.80-3.13
Br4 0.6921 0.0643 0.7403  3 Hg 2.80-3.13
Br5 0.2597 0.1921 0.4357  3 Hg 2.80-3.13
Br6 0.7597 0.3079 0.5643  3 Hg 2.80-3.13
Br7 0.2403 0.8079 0.9357  3 Hg 2.80-3.13
Br8 0.7403 0.6921 0.0643  3 Hg 2.80-3.13
Br9 0.4357 0.2597 0.1921  3 Hg 2.80-3.13
Br10 0.5643 0.7597 0.3079  3 Hg 2.80-3.13
Br11 0.9357 0.2403 0.8079  3 Hg 2.80-3.13
Br12 0.0643 0.7403 0.6921  3 Hg 2.80-3.13
Br13 0.8079 0.5643 0.7403  3 Hg 2.80-3.13
Br14 0.6921 0.4357 0.2403  3 Hg 2.80-3.13
Br15 0.1921 0.0643 0.7597  3 Hg 2.80-3.13
Br16 0.3079 0.9357 0.2597  3 Hg 2.80-3.13
Br17 0.7403 0.8079 0.5643  3 Hg 2.80-3.13
Br18 0.2403 0.6921 0.4357  3 Hg 2.80-3.13
Br19 0.7597 0.1921 0.0643  3 Hg 2.80-3.13
Br20 0.2597 0.3079 0.9357  3 Hg 2.80-3.13
Br21 0.5643 0.7403 0.8079  3 Hg 2.80-3.13
Br22 0.4357 0.2403 0.6921  3 Hg 2.80-3.13
Br23 0.0643 0.7597 0.1921  3 Hg 2.80-3.13
Br24 0.9357 0.2597 0.3079  3 Hg 2.80-3.13
Hg1 0.0261 0.9968 0.2532  2 As 2.52-2.54
Hg2 0.4739 0.0032 0.7532  2 As 2.52-2.54
Hg3 0.9739 0.4968 0.2468  2 As 2.52-2.54
Hg4 0.5261 0.5032 0.7468  2 As 2.52-2.54
Hg5 0.2532 0.0261 0.9968  2 As 2.52-2.54
Hg6 0.7532 0.4739 0.0032  2 As 2.52-2.54
Hg7 0.2468 0.9739 0.4968  2 As 2.52-2.54
Hg8 0.7468 0.5261 0.5032  2 As 2.52-2.54
Hg9 0.9968 0.2532 0.0261  2 As 2.52-2.54
Hg10 0.0032 0.7532 0.4739  2 As 2.52-2.54
Hg11 0.4968 0.2468 0.9739  2 As 2.52-2.54
Hg12 0.5032 0.7468 0.5261  2 As 2.52-2.54
Hg13 0.9739 0.0032 0.7468  2 As 2.52-2.54
Hg14 0.5261 0.9968 0.2468  2 As 2.52-2.54
Hg15 0.0261 0.5032 0.7532  2 As 2.52-2.54
Hg16 0.4739 0.4968 0.2532  2 As 2.52-2.54
Hg17 0.7468 0.9739 0.0032  2 As 2.52-2.54
Hg18 0.2468 0.5261 0.9968  2 As 2.52-2.54
Hg19 0.7532 0.0261 0.5032  2 As 2.52-2.54
Hg20 0.2532 0.4739 0.4968  2 As 2.52-2.54
Hg21 0.0032 0.7468 0.9739  2 As 2.52-2.54
Hg22 0.9968 0.2468 0.5261  2 As 2.52-2.54
Hg23 0.5032 0.7532 0.0261  2 As 2.52-2.54
Hg24 0.4968 0.2532 0.4739  2 As 2.52-2.54
Hg25 0.2196 0.2196 0.2196  1 As 2.54, 3 Br 2.80
Hg26 0.2804 0.7804 0.7196  1 As 2.54, 3 Br 2.80
Hg27 0.7804 0.7196 0.2804  1 As 2.54, 3 Br 2.80
Hg28 0.7196 0.2804 0.7804  1 As 2.54, 3 Br 2.80
Hg29 0.7804 0.7804 0.7804  1 As 2.54, 3 Br 2.80
Hg30 0.7196 0.2196 0.2804  1 As 2.54, 3 Br 2.80
Hg31 0.2196 0.2804 0.7196  1 As 2.54, 3 Br 2.80
Hg32 0.2804 0.7196 0.2196  1 As 2.54, 3 Br 2.80

---

[12]
# Hg2As3Br

An optimized crystal structure of Hg2As3Br (PBEsol, Alexandria via LeMat-Bulk).

As for the crystal system: monoclinic. The calculation puts the spin magnetization at 0.00 Bohr magnetons per cell. Its formation energy (no corrections) is -0.1286 eV per atom. Its space group is C2/c.

Unit cell a=6.1750 b=6.1750 c=8.1085 alpha=96.40 beta=96.40 gamma=97.86
With the nearest neighbours (Å) after each atom.
Atoms (fractional coordinates):
As1 0.0701 0.1919 0.9890  2 As 2.44-2.45, 1 Hg 2.55
As2 0.8081 0.9299 0.5110  2 As 2.44-2.45, 1 Hg 2.55
As3 0.9299 0.8081 0.0110  2 As 2.44-2.45, 1 Hg 2.55
As4 0.2063 0.7937 0.2500  2 As 2.45, 2 Hg 2.57
As5 0.7937 0.2063 0.7500  2 As 2.45, 2 Hg 2.57
As6 0.1919 0.0701 0.4890  2 As 2.44-2.45, 1 Hg 2.55
Hg1 0.1425 0.4086 0.3442  2 As 2.55-2.57
Hg2 0.5914 0.8575 0.1558  2 As 2.55-2.57
Hg3 0.4086 0.1425 0.8442  2 As 2.55-2.57
Hg4 0.8575 0.5914 0.6558  2 As 2.55-2.57
Br1 0.6363 0.3637 0.2500  4 Hg 3.10-3.27
Br2 0.3637 0.6363 0.7500  4 Hg 3.10-3.27